Rb3As7 GGA-PBEsol relaxed; E = -4.200 eV/atom; symmetry = P2_1/c (14); total magnetic moment = 0.001 μB/cell
1.0
7.4829 0.0000 -0.0049
0.0000 13.1354 0.0000
-0.8602 0.0000 26.6761
Rb As
24 56
Cartesian
2.9233 11.5350 5.4259
3.7534 11.0615 24.8952
1.2218 7.9036 6.2471
1.3415 5.9051 1.2606
4.1834 8.6416 11.5571
1.4682 6.2551 23.3069
5.4009 5.2318 20.4241
5.8310 1.3359 7.0860
0.0327 0.6295 23.9875
2.8693 2.0739 1.7760
6.5900 12.5059 2.6837
4.1294 4.9673 7.9073
5.1545 6.8803 3.3643
3.6994 1.6004 21.2453
0.7917 11.7995 19.5852
2.4393 4.4938 15.1141
5.7113 12.4728 12.0725
1.8982 0.3126 9.9688
4.7245 12.8228 16.7023
2.4933 8.1681 18.7639
6.1599 7.1972 16.0217
0.4628 5.9382 10.6495
0.9114 0.6626 14.5987
5.2812 7.2303 25.4106
3.3588 10.2742 21.3932
5.3381 5.5311 12.9120
3.4546 2.1614 12.5140
0.1879 4.8294 4.9456
1.7555 10.5626 16.2453
5.3497 9.0326 6.0822
7.0865 2.6128 11.2299
6.6608 3.8535 17.2699
2.5557 4.9552 4.4447
3.7889 9.4290 8.0552
-0.2422 1.7383 18.2837
3.3561 11.0709 1.7713
-0.4638 10.5227 15.4412
4.9196 10.6705 19.4202
4.8672 2.5728 10.4259
1.7031 2.4649 7.2509
2.1257 1.6125 17.7827
-0.0944 9.5332 13.2551
-0.5245 10.1700 26.5931
4.4371 3.9949 23.7640
3.6967 4.5032 11.5618
1.2289 1.3831 5.0136
3.2666 2.0645 24.8999
1.2846 7.6043 13.7592
2.9260 8.6322 15.1094
7.1472 2.9655 0.0780
3.2639 2.8613 5.2780
3.0245 4.4063 25.8521
6.8649 11.3971 8.3875
6.6564 3.9550 24.5680
-0.1480 2.2044 20.6656
3.5982 8.7291 0.8191
6.4348 8.3060 21.7256
1.1929 8.6867 25.7193
0.2820 4.3633 7.3275
0.7989 5.1846 18.3517
5.8238 7.9509 8.3195
4.9080 1.0366 26.2501
-0.0380 9.2820 9.4012
1.2730 4.1028 20.5890
4.4970 11.5230 8.8884
-0.0337 9.1805 2.1032
2.8338 3.7065 18.6160
1.7147 12.0988 0.4211
4.0670 8.1802 22.2265
1.6230 11.0165 12.3812
3.1681 10.9740 14.1572
6.3407 8.7721 19.3437
7.0908 2.7143 3.9319
2.1856 9.1406 2.9072
5.3937 11.7523 21.6576
6.7707 10.9311 6.0056
6.7171 3.6023 13.4161
5.4298 4.4488 0.9519
4.9997 2.1189 14.2900
-0.4681 10.4212 22.7393



Cu2Mo3Se4 GGA-PBEsol relaxed; E = -6.995 eV/atom; N(E_F) = 5.5 states/eV/cell; symmetry = P-1 (2); total magnetic moment = 0.000 μB/cell; raw formation energy = -0.398 eV/atom
1.0
6.7215 0.0213 0.0508
0.6566 6.7525 0.0478
2.2420 2.4273 7.1715
Se Mo Cu
8 6 4
Cartesian
5.1940 2.8452 0.9799
6.8801 6.1074 1.7272
3.3014 5.5006 2.9737
1.8961 2.2095 2.1171
4.4261 6.3558 6.2902
7.7239 6.9916 5.1530
6.3186 3.7004 4.2964
2.7399 3.0937 5.5429
3.3831 7.6505 4.2712
5.5970 6.1879 3.9952
4.0231 3.0131 3.2749
5.6310 8.4825 5.4058
3.9891 0.7185 1.8643
6.2369 1.5505 2.9989
5.8516 4.1761 6.5715
7.9514 8.7754 6.8045
1.6686 0.4257 0.4656
3.7685 5.0249 0.6985



AlAgIr GGA-PBEsol relaxed; E = -5.638 eV/atom; N(E_F) = 0.9 states/eV/cell; symmetry = F-43m (216); total magnetic moment = 0.000 μB/cell
1.0
4.2253 0.0000 0.0000
2.1126 3.6592 0.0000
2.1126 1.2197 3.4499
Ag Ir Al
1 1 1
Cartesian
0.0000 0.0000 0.0000
2.1126 1.2197 0.8625
4.2253 2.4395 1.7250



Ca2CuOs GGA-PBEsol relaxed; E = -4.841 eV/atom; N(E_F) = 3.1 states/eV/cell; symmetry = Imm2 (44); total magnetic moment = 0.000 μB/cell
1.0
-2.2006 0.4429 -2.2002
-3.4779 -1.1503 3.2469
2.4661 5.4062 0.8669
Cu Os Ca
1 1 2
Cartesian
-2.8660 0.0080 0.6229
-1.9002 1.6071 2.2240
-3.1942 4.4514 1.8456
-1.3038 2.9772 -0.3418



Y2CoSe GGA-PBEsol relaxed; E = -6.999 eV/atom; N(E_F) = 2.9 states/eV/cell; symmetry = P4/mmm (123); total magnetic moment = 0.005 μB/cell; raw formation energy = -0.691 eV/atom
1.0
3.3782 0.0000 0.0000
0.0000 4.8522 0.0000
0.0000 0.0000 4.8522
Se Co Y
1 1 2
Cartesian
1.6891 0.0000 0.0000
1.6891 2.4261 2.4261
0.0000 0.0000 2.4261
0.0000 2.4261 0.0000



BiP2RuS GGA-PBEsol relaxed; E = -4.113 eV/atom; N(E_F) = 6.7 states/eV/cell; symmetry = P4/mmm (123); total magnetic moment = 2.621 μB/cell; raw formation energy = 1.972 eV/atom
1.0
5.0448 0.0000 0.0000
0.0000 5.0868 0.0000
0.0000 0.0000 5.0868
Bi S Ru P
1 1 1 2
Cartesian
0.0000 0.0000 0.0000
2.5224 0.0000 0.0000
2.5224 2.5434 2.5434
0.0000 2.5434 0.0000
0.0000 0.0000 2.5434



CuMoAu2 GGA-PBEsol relaxed; energy above the most stable polymorph in this dataset = 14.8 kJ/mol of atoms; E = -5.637 eV/atom; N(E_F) = 3.8 states/eV/cell; symmetry = Fm-3m (225); total magnetic moment = 0.476 μB/cell
1.0
4.4331 0.0000 0.0000
2.2166 3.8392 0.0000
2.2166 1.2797 3.6196
Au Mo Cu
2 1 1
Cartesian
2.2166 1.2797 0.9049
6.6497 3.8392 2.7147
4.4331 2.5595 1.8098
0.0000 0.0000 0.0000



BaSiW2 GGA-PBEsol relaxed; energy above the most stable polymorph in this dataset = 84.2 kJ/mol of atoms; E = -7.301 eV/atom; N(E_F) = 3.4 states/eV/cell; symmetry = Cmmm (65); total magnetic moment = 0.000 μB/cell; raw formation energy = 1.576 eV/atom
1.0
-1.6937 -1.1583 -1.8509
4.4238 -1.2562 -3.2620
-1.5246 -3.8635 3.8128
W Ba Si
2 1 1
Cartesian
-0.7623 -1.9318 1.9064
2.2119 -0.6281 -1.6310
-0.8469 -0.5791 -0.9255
0.6027 -3.1390 -0.6501



SbOsNO2 GGA-PBEsol relaxed; E = -7.227 eV/atom; N(E_F) = 3.7 states/eV/cell; symmetry = P4/mmm (123); total magnetic moment = 0.001 μB/cell; raw formation energy = -0.068 eV/atom
1.0
-0.8765 3.6601 -0.2817
-3.3439 -0.6366 2.1326
2.0206 0.7448 3.3907
Sb N O Os
1 1 2 1
Cartesian
-1.0998 1.8842 2.6208
-0.4382 1.8301 -0.1409
1.0103 0.3724 1.6953
-1.6719 -0.3183 1.0663
0.0000 0.0000 0.0000



HgAs2Pb GGA-PBEsol relaxed; energy above the most stable polymorph in this dataset = 22.9 kJ/mol of atoms; E = -3.406 eV/atom; N(E_F) = 1.9 states/eV/cell; symmetry = C2/m (12); total magnetic moment = 0.000 μB/cell
1.0
3.1786 -0.0045 -0.0072
-0.7591 5.6276 0.0122
-0.7591 -2.4807 5.0513
As Pb Hg
2 1 1
Cartesian
-0.3795 2.8138 0.0061
-0.3795 -1.2403 2.5257
1.5893 -0.0022 -0.0036
0.8302 1.5712 2.5282



RbTaAs2 GGA-PBEsol relaxed; E = -6.053 eV/atom; symmetry = I-42d (122); total magnetic moment = 0.000 μB/cell
1.0
-5.3075 -4.2801 2.4316
6.1331 0.8255 4.0647
-0.3030 3.8531 6.1208
Rb As Ta
2 4 2
Cartesian
1.6639 0.3060 4.1704
-2.8053 -0.2135 4.2762
4.3276 3.9849 8.4074
-3.3377 -0.6540 7.7263
0.5125 -1.1404 7.1643
-0.4574 -1.3936 1.9361
0.0000 0.0000 0.0000
-1.1414 0.0925 8.4466



Li3TiV3O8 GGA-PBEsol relaxed; energy above the most stable polymorph in this dataset = 5.9 kJ/mol of atoms; E = -8.074 eV/atom; N(E_F) = 5.4 states/eV/cell; symmetry = R-3m (166); total magnetic moment = 5.407 μB/cell; raw formation energy = -2.399 eV/atom
1.0
-2.5657 1.2995 -4.9659
1.2123 -3.0136 -4.7307
-4.0682 -3.6823 -2.1774
V O Li Ti
3 8 3 1
Cartesian
-0.6767 -0.8571 -4.8483
0.6062 -1.5068 -2.3654
-1.2829 0.6497 -2.4829
-1.9402 -2.1283 -7.8653
-3.4814 -3.2681 -4.0088
-4.1244 -4.0974 -8.8885
-0.6408 -2.7864 -5.3503
-2.8674 -4.7943 -6.4046
-2.5542 -0.6021 -5.4694
-1.2972 -1.2990 -2.9855
-4.7808 -2.6100 -6.5237
-2.0341 -1.8412 -1.0887
-1.4279 -3.3479 -3.4541
-3.3170 -1.1914 -3.5716
0.0000 0.0000 0.0000